[1]
SrNd2Pd (PBE, relaxed); DFT total energy = -4.368 eV/atom; energy of formation from the pure elements = -1.06 eV/f.u.; total magnetization = 0.0 μB per cell; symmetry = R3m; relative energy among the computed polymorphs = 3 meV/atom
1.0
-0.728 -2.308 -3.519
-2.875 -3.157 0.073
-8.089 4.389 -3.797
Sr Nd Pd
1 2 1
Direct
0.501 0.501 0.496
0.053 0.053 0.842
0.280 0.280 0.160
0.666 0.666 0.002

***

[2]
SrNd2Pd (PBE, relaxed); DFT total energy = -4.357 eV/atom; energy of formation from the pure elements = -1.02 eV/f.u.; total magnetization = 0.0 μB per cell; symmetry = R-3m; relative energy among the computed polymorphs = 13 meV/atom
1.0
4.206 0.000 0.000
2.103 3.642 0.000
2.103 1.214 9.948
Sr Nd Pd
1 2 1
Direct
0.500 0.500 0.500
0.280 0.280 0.160
0.720 0.720 0.840
0.000 0.000 0.000

***

[3]
SrNdPd (PBE, relaxed); DFT total energy = -4.263 eV/atom; energy of formation from the pure elements = -1.15 eV/f.u.; total magnetization = 0.0 μB per cell; symmetry = P3m1; relative energy among the computed polymorphs = 35 meV/atom
1.0
-3.678 1.221 1.736
2.311 -3.046 1.846
3.387 4.851 3.765
Sr Nd Pd
1 1 1
Direct
0.000 0.000 0.084
0.333 0.667 0.563
0.667 0.333 0.353

***

[4]
SrNd4Pd4 (PBE, relaxed); DFT total energy = -5.208 eV/atom; energy of formation from the pure elements = -5.35 eV/f.u.; total magnetization = 0.0 μB per cell; symmetry = P4_2/n
1.0
5.882 0.000 0.000
0.000 9.548 0.000
0.000 0.000 9.548
Sr Nd Pd
2 8 8
Direct
0.000 0.000 0.000
0.500 0.500 0.500
0.420 0.332 0.898
0.920 0.602 0.832
0.420 0.668 0.102
0.080 0.168 0.602
0.580 0.898 0.668
0.080 0.832 0.398
0.920 0.398 0.168
0.580 0.102 0.332
0.582 0.800 0.367
0.582 0.200 0.633
0.082 0.867 0.700
0.918 0.300 0.867
0.918 0.700 0.133
0.418 0.367 0.200
0.418 0.633 0.800
0.082 0.133 0.300

***

[5]
SrNdPd2 (PBE, relaxed); DFT total energy = -4.745 eV/atom; energy of formation from the pure elements = -2.14 eV/f.u.; total magnetization = 0.0 μB per cell; symmetry = R3m; relative energy among the computed polymorphs = 158 meV/atom
1.0
4.168 0.000 0.000
2.084 3.609 0.000
2.084 1.203 7.513
Sr Nd Pd
1 1 2
Direct
0.497 0.497 0.510
0.669 0.669 0.994
0.077 0.077 0.768
0.257 0.257 0.228

***

[6]
SrNd2Pd9 (PBE, relaxed); DFT total energy = -5.465 eV/atom; energy of formation from the pure elements = -7.63 eV/f.u.; total magnetization = 0.0 μB per cell; symmetry = R-3m
1.0
5.247 0.000 1.562
2.391 4.671 1.562
0.008 0.005 9.570
Sr Nd Pd
1 2 9
Direct
0.000 0.000 0.000
0.862 0.862 0.415
0.138 0.138 0.585
0.667 0.667 0.999
0.333 0.333 0.001
0.500 0.500 0.500
0.413 0.413 0.256
0.918 0.413 0.256
0.413 0.918 0.256
0.587 0.587 0.744
0.587 0.082 0.744
0.082 0.587 0.744

***

[7]
SrNdPd6 (PBE, relaxed); DFT total energy = -5.063 eV/atom; energy of formation from the pure elements = -2.90 eV/f.u.; total magnetization = 0.0 μB per cell; symmetry = Pm-3
1.0
-1.895 5.038 -0.447
-0.323 -0.597 -5.358
-5.047 -1.854 0.511
Sr Nd Pd
1 1 6
Direct
0.500 0.500 0.500
0.000 0.000 0.000
0.500 0.752 0.000
0.752 0.000 0.500
0.000 0.500 0.248
0.248 0.000 0.500
0.500 0.248 0.000
0.000 0.500 0.752

***

[8]
SrNdPd4 (PBE, relaxed); DFT total energy = -5.216 eV/atom; energy of formation from the pure elements = -4.07 eV/f.u.; total magnetization = 0.0 μB per cell; symmetry = F-43m
1.0
5.564 0.000 0.000
2.782 4.819 0.000
2.782 1.606 4.543
Sr Nd Pd
1 1 4
Direct
0.250 0.250 0.250
0.000 0.000 0.000
0.625 0.625 0.125
0.625 0.125 0.625
0.625 0.625 0.625
0.125 0.625 0.625

***

[9]
Sr3NdPd8 (PBE, relaxed); DFT total energy = -4.935 eV/atom; energy of formation from the pure elements = -7.86 eV/f.u.; total magnetization = 0.0 μB per cell; symmetry = R3m
1.0
-1.509 5.364 -0.602
-4.413 2.002 2.815
3.475 4.762 7.640
Sr Nd Pd
3 1 8
Direct
0.374 0.374 0.877
0.002 0.002 0.995
0.499 0.499 0.504
0.875 0.875 0.375
0.934 0.437 0.193
0.442 0.938 0.682
0.437 0.437 0.193
0.938 0.938 0.682
0.188 0.188 0.437
0.687 0.687 0.938
0.437 0.934 0.193
0.938 0.442 0.682

***

[10]
SrNdPd (PBE, relaxed); DFT total energy = -4.293 eV/atom; energy of formation from the pure elements = -1.24 eV/f.u.; total magnetization = 0.0 μB per cell; symmetry = Pm; relative energy among the computed polymorphs = 4 meV/atom
1.0
3.927 0.000 -0.002
0.000 7.220 0.876
0.006 0.915 7.243
Sr Nd Pd
2 2 2
Direct
0.124 0.885 0.110
0.623 0.394 0.043
0.624 0.999 0.615
0.624 0.519 0.535
0.124 0.246 0.759
0.124 0.686 0.755

***

[11]
SrNdPd (PBE, relaxed); DFT total energy = -4.298 eV/atom; energy of formation from the pure elements = -1.25 eV/f.u.; total magnetization = 0.0 μB per cell; symmetry = I4mm; relative energy among the computed polymorphs = 0 meV/atom
1.0
3.734 0.000 0.000
0.000 3.734 0.000
-1.867 -1.867 6.815
Sr Nd Pd
1 1 1
Direct
0.030 0.030 0.060
0.289 0.289 0.577
0.681 0.681 0.363

***

[12]
SrNdPd2 (PBE, relaxed); DFT total energy = -4.903 eV/atom; energy of formation from the pure elements = -2.78 eV/f.u.; total magnetization = 0.0 μB per cell; symmetry = P4/mmm; relative energy among the computed polymorphs = 0 meV/atom
1.0
-2.814 -1.599 1.749
2.319 -2.417 1.521
0.985 4.570 5.762
Sr Nd Pd
1 1 2
Direct
0.500 0.500 0.500
0.500 0.500 0.000
0.000 0.000 0.784
0.000 0.000 0.216